Material: CaV2PdO6
Method: DFT, PBE+U
State: optimized geometry

abc: 7.181 7.181 6.100
angles: 106.98 106.98 96.10
Atoms (fractional coordinates):
1 Ca 0.097 0.903 0.750
2 Ca 0.903 0.097 0.250
3 V 0.273 0.429 0.810
4 V 0.429 0.273 0.310
5 V 0.571 0.727 0.690
6 V 0.727 0.571 0.190
7 Pd 0.267 0.733 0.250
8 Pd 0.733 0.267 0.750
9 O 0.089 0.215 0.672
10 O 0.152 0.624 0.877
11 O 0.215 0.089 0.172
12 O 0.339 0.440 0.541
13 O 0.376 0.848 0.623
14 O 0.440 0.339 0.041
15 O 0.560 0.661 0.959
16 O 0.624 0.152 0.377
17 O 0.661 0.560 0.459
18 O 0.785 0.911 0.828
19 O 0.848 0.376 0.123
20 O 0.911 0.785 0.328

Properties
For the raw total energy, the calculation gives -70.059 eV per formula unit.